1.
DFT (GGA-PBE) results for MgP2SF after structural relaxation.

Output
**ΔE_f (raw)**: 680 meV/atom
**Total moment**: 0.004 μB/atom
**Space group**: P4/mmm (123)

Cell and atoms, written as POSCAR:
```
MgP2SF
1.0
-3.324 3.402 -0.760
-0.356 -1.375 -4.602
-3.307 -2.975 1.145
P S Mg F
2 1 1 1
Cartesian
-0.178 -0.688 -2.301
-1.662 1.701 -0.380
-1.653 -1.488 0.572
0.000 0.000 0.000
-3.493 -0.474 -2.109
```

2.
DFT (GGA-PBE) results for BaZrIn2 after structural relaxation.

Output
**Total moment**: 0.227 μB/atom
**Space group**: Pmm2 (25)
**Energy of formation from the pure elements**: 0.087 eV/atom

Cell and atoms, written as POSCAR:
```
BaZrIn2
1.0
-1.520 3.006 -1.192
0.130 -1.581 -4.154
-7.221 -3.251 1.011
Ba In Zr
1 2 1
Cartesian
-6.094 -1.719 -1.917
-0.357 -0.161 0.050
-2.759 -0.217 -2.384
-3.012 -1.356 0.422
```

3.
DFT (GGA-PBE) results for CoTc2Hg after structural relaxation.

Output
**Total moment**: 0.284 μB/atom
**Space group**: P4/mmm (123)
**Energy of formation from the pure elements**: 0.561 eV/atom

Cell and atoms, written as POSCAR:
```
CoTc2Hg
1.0
3.750 0.000 0.000
0.000 3.750 0.000
0.000 0.000 4.244
Co Hg Tc
1 1 2
Cartesian
1.875 0.000 2.122
0.000 1.875 2.122
0.000 0.000 0.000
1.875 1.875 0.000
```

4.
DFT (GGA-PBE) results for InHgBrF2 after structural relaxation.

Output
**ΔE_f (raw)**: -1250 meV/atom
**Total moment**: 0.000 μB/atom
**Space group**: P4/mmm (123)

Cell and atoms, written as POSCAR:
```
InHgBrF2
1.0
-1.111 3.936 1.394
-5.452 -2.205 1.881
1.697 -0.892 3.872
F Hg Br In
2 1 1 1
Cartesian
0.849 -0.446 1.936
-0.556 1.968 0.697
-2.726 -1.103 0.941
-2.433 0.419 3.574
0.000 0.000 0.000
```

5.
DFT (GGA-PBE) results for ScTaTeN2 after structural relaxation.

Output
**ΔE_f (raw)**: 1023 meV/atom
**Total moment**: 0.001 μB/atom
**Space group**: P4/mmm (123)

Cell and atoms, written as POSCAR:
```
ScTaTeN2
1.0
-2.394 -2.413 -2.265
1.327 -3.261 2.072
-4.097 0.647 3.642
Sc N Te Ta
1 2 1 1
Cartesian
0.000 0.000 0.000
0.663 -1.630 1.036
-1.197 -1.207 -1.132
-2.048 0.324 1.821
-2.582 -2.513 1.725
```

6.
DFT (GGA-PBE) results for TaAg2Au after structural relaxation.

Output
**Total moment**: 0.000 μB/atom
**Space group**: Pmm2 (25)
**Energy of formation from the pure elements**: 0.172 eV/atom

Cell and atoms, written as POSCAR:
```
TaAg2Au
1.0
4.079 0.000 0.000
0.000 2.852 0.008
0.000 2.832 6.159
Au Ag Ta
1 2 1
Cartesian
0.000 2.842 3.181
0.000 2.852 0.008
2.039 1.421 1.506
2.039 4.263 4.563
```

7.
DFT (GGA-PBE) results for Li2DyIn9 after structural relaxation.

Output
**Total moment**: 0.000 μB/atom
**Space group**: P4/mmm (123)
**Energy of formation from the pure elements**: -0.209 eV/atom

Cell and atoms, written as POSCAR:
```
Li2DyIn9
1.0
4.557 0.000 0.000
0.000 4.557 0.000
0.000 0.000 13.939
Li Dy In
2 1 9
Cartesian
0.000 0.000 4.571
0.000 0.000 9.368
0.000 0.000 0.000
2.278 2.278 0.000
2.278 2.278 4.647
2.278 2.278 9.292
2.278 0.000 2.412
2.278 0.000 6.970
2.278 0.000 11.527
0.000 2.278 2.412
0.000 2.278 6.970
0.000 2.278 11.527
```

8.
DFT (GGA-PBE) results for BaTaSe2 after structural relaxation.

Output
**ΔE_f (raw)**: -677 meV/atom
**Total moment**: 0.166 μB/atom
**Space group**: P2/m (10)

Cell and atoms, written as POSCAR:
```
BaTaSe2
1.0
-2.314 2.839 -1.142
-1.618 0.082 3.483
4.971 4.937 2.200
Ba Se Ta
1 2 1
Cartesian
1.358 5.184 3.691
-0.359 0.065 0.890
2.036 2.445 1.952
-0.319 2.674 0.850
```

9.
DFT (GGA-PBE) results for Ta2MnPt9 after structural relaxation.

Output
**Total moment**: 0.415 μB/atom
**Space group**: P4/mmm (123)
**Energy of formation from the pure elements**: -0.614 eV/atom

Cell and atoms, written as POSCAR:
```
Ta2MnPt9
1.0
-2.211 1.233 -3.085
-3.248 -0.024 2.318
2.081 11.318 3.034
Ta Mn Pt
2 1 9
Cartesian
0.677 3.682 0.987
1.404 7.636 2.047
0.000 0.000 0.000
-2.730 0.605 -0.383
-2.032 4.400 0.634
-1.346 8.128 1.633
-0.752 2.536 -1.028
-0.065 6.276 -0.026
0.623 10.015 0.977
-1.271 1.908 1.674
-0.584 5.647 2.676
0.104 9.387 3.679
```

10.
DFT (GGA-PBE) results for SiGeRh2 after structural relaxation.

Output
**ΔE_f (raw)**: -138 meV/atom
**Total moment**: 0.000 μB/atom
**Space group**: I-42d (122)

Cell and atoms, written as POSCAR:
```
SiGeRh2
1.0
-1.835 -2.405 -4.496
4.799 -2.429 -0.659
-0.233 -6.602 0.362
Ge Rh Si
2 4 2
Cartesian
0.000 0.000 0.000
-0.293 -5.712 -3.356
-0.574 -3.417 -2.726
2.681 -3.510 -0.959
1.018 -6.805 -1.673
2.338 -9.141 -4.228
1.482 -2.417 -2.577
3.024 -5.724 -1.438
```

11.
DFT (GGA-PBE) results for RbCuH2 after structural relaxation.

Output
**E**: -10.23 eV per formula unit
**Total moment**: 0.000 μB/atom
**Space group**: R-3m (166)

Cell and atoms, written as POSCAR:
```
RbCuH2
1.0
-2.841 0.390 1.574
-2.741 -1.299 -1.226
-0.865 -5.261 3.142
H Cu Rb
2 1 1
Cartesian
-1.717 -1.015 0.551
-4.729 -5.155 2.939
0.000 0.000 0.000
-3.223 -3.085 1.745
```

12.
DFT (GGA-PBE) results for TaP2OsCl after structural relaxation.

Output
**ΔE_f (raw)**: 1200 meV/atom
**Total moment**: 0.694 μB/atom
**Space group**: P4/mmm (123)

Cell and atoms, written as POSCAR:
```
TaP2OsCl
1.0
-1.098 3.186 -3.495
-4.058 1.207 2.376
2.319 3.303 2.282
P Cl Os Ta
2 1 1 1
Cartesian
-2.029 0.603 1.188
-0.549 1.593 -1.747
1.159 1.652 1.141
-1.419 3.848 0.582
0.000 0.000 0.000
```

13.
DFT (GGA-PBE) results for CaPuHg4 after structural relaxation.

Output
**Total moment**: 0.956 μB/atom
**Space group**: C2/m (12)
**Energy of formation from the pure elements**: -0.267 eV/atom

Cell and atoms, written as POSCAR:
```
CaPuHg4
1.0
-4.911 0.895 -0.687
-3.595 -4.859 0.994
-2.698 2.889 4.680
Ca Pu Hg
1 1 4
Cartesian
-4.911 0.895 -0.687
-5.602 -0.538 2.494
-8.241 0.516 4.304
-8.541 -2.080 3.069
-2.963 -1.591 0.683
-2.663 1.005 1.919
```

14.
DFT (GGA-PBE) results for Na3SrTl2 after structural relaxation.

Output
**Total moment**: 0.000 μB/atom
**Space group**: C2/m (12)
**Energy of formation from the pure elements**: -0.164 eV/atom

Cell and atoms, written as POSCAR:
```
Na3SrTl2
1.0
5.027 0.000 0.000
-2.514 8.349 -1.026
0.000 -4.720 9.744
Na Sr Tl
6 2 4
Cartesian
0.000 2.399 3.426
2.514 4.479 4.822
2.514 -1.871 6.728
0.000 5.501 1.990
0.000 -0.849 3.895
2.514 1.231 5.292
2.514 6.293 -0.744
0.000 -2.663 9.461
0.000 3.321 6.947
2.514 0.308 1.770
2.514 3.574 1.620
0.000 0.056 7.098
```

15.
DFT (GGA-PBE) results for ZnHg2Mo after structural relaxation.

Output
**Total moment**: 0.019 μB/atom
**Space group**: P2/m (10)
**Energy of formation from the pure elements**: 0.512 eV/atom

Cell and atoms, written as POSCAR:
```
ZnHg2Mo
1.0
4.471 0.000 0.000
0.000 2.931 -0.011
0.000 1.562 5.612
Hg Mo Zn
2 1 1
Cartesian
0.000 4.186 5.601
0.000 2.553 2.801
2.235 1.123 1.400
2.235 3.369 4.201
```

16.
DFT (GGA-PBE) results for PmBeAlPd3 after structural relaxation.

Output
**Total moment**: 0.000 μB/atom
**Space group**: Cmcm (63)
**Energy of formation from the pure elements**: -0.536 eV/atom

Cell and atoms, written as POSCAR:
```
PmBeAlPd3
1.0
-2.061 5.053 -1.154
1.229 -1.004 -6.595
-5.953 -1.821 2.656
Pm Be Al Pd
2 2 2 6
Cartesian
-4.651 2.439 -1.238
-2.133 -0.211 -3.854
-4.657 -0.539 -0.786
-2.127 2.767 -4.307
-5.018 -1.466 -4.201
-1.766 3.694 -0.892
-2.563 0.372 -0.534
0.367 -0.300 -1.967
-0.168 1.822 -5.205
-0.664 2.227 -2.544
0.863 -0.705 -4.628
-4.222 1.856 -4.558
```

17.
DFT (GGA-PBE) results for Ba2AlZn after structural relaxation.

Output
**Total moment**: 0.000 μB/atom
**Space group**: I-42d (122)
**Energy of formation from the pure elements**: 0.237 eV/atom

Cell and atoms, written as POSCAR:
```
Ba2AlZn
1.0
9.136 0.000 0.000
0.000 9.136 0.000
4.568 4.568 3.786
Zn Ba Al
2 4 2
Cartesian
0.000 0.000 0.000
9.136 4.568 1.893
7.019 2.284 0.946
2.117 6.852 0.946
6.852 6.685 2.839
11.420 11.587 2.839
4.568 4.568 0.000
4.568 9.136 1.893
```

18.
DFT (GGA-PBE) results for NaSr7Ca12 after structural relaxation.

Output
**Total moment**: 0.000 μB/atom
**Space group**: Im-3 (204)
**Energy of formation from the pure elements**: 0.483 eV/atom

Cell and atoms, written as POSCAR:
```
NaSr7Ca12
1.0
11.248 0.000 -3.977
-5.624 9.741 -3.977
0.000 0.000 11.930
Na Sr Ca
1 7 12
Cartesian
0.000 0.000 0.000
2.812 4.871 -3.977
-2.812 4.871 3.977
5.624 0.000 3.977
2.812 4.871 1.988
0.000 0.000 5.965
5.624 0.000 -1.988
-2.812 4.871 -1.988
0.705 6.222 4.809
6.479 6.222 -3.039
4.919 3.519 -0.832
-0.855 3.519 7.015
7.773 1.019 0.938
6.213 3.722 3.144
-2.149 8.722 3.039
-0.589 6.019 0.832
3.003 7.241 -0.938
2.621 2.500 4.915
5.741 2.500 7.121
-0.117 7.241 -3.144
```

19.
DFT (GGA-PBE) results for PmY2IO8 after structural relaxation.

Output
**ΔE_f (raw)**: -2300 meV/atom
**Total moment**: 0.000 μB/atom
**Space group**: P2/m (10)

Cell and atoms, written as POSCAR:
```
PmY2IO8
1.0
5.058 -0.022 -0.003
0.011 5.061 -0.006
0.004 0.008 6.938
Pm Y I O
1 2 1 8
Cartesian
0.002 0.004 3.469
2.538 2.525 5.194
2.536 2.521 1.735
0.000 0.000 0.000
0.925 4.137 1.401
3.718 3.707 6.931
4.146 0.905 1.403
4.149 0.909 5.528
1.356 1.339 -0.002
0.928 4.142 5.526
3.472 3.463 3.463
1.602 1.583 3.466
```

20.
DFT (GGA-PBE) results for Sm3AlAg4S8 after structural relaxation.

Output
**ΔE_f (raw)**: -1079 meV/atom
**Total moment**: 0.000 μB/atom
**Space group**: C2/m (12)

Cell and atoms, written as POSCAR:
```
Sm3AlAg4S8
1.0
-3.883 -6.556 2.806
-2.044 -3.453 -10.897
6.803 2.594 3.726
Sm Al Ag S
3 1 4 8
Cartesian
-2.964 -5.005 -4.045
0.438 -3.708 -2.182
2.379 -0.430 -3.585
-1.022 -1.727 -5.448
-1.941 -3.278 1.403
1.460 -1.981 3.266
0.000 0.000 0.000
3.401 1.297 1.863
-1.878 -3.864 -6.403
1.201 -2.732 -4.720
1.465 -1.368 -1.169
-4.035 -7.505 -4.844
4.911 0.090 0.479
-0.589 -6.047 -3.196
-0.325 -4.684 0.356
2.754 -3.552 2.038
```